The following is a DFT calculation (PBE-GGA) of a geometry-optimized YTm2As3 structure.

Computed properties:
The value obtained for the magnetic moment is 0.00 μB/cell. For the raw total energy, the calculation gives -38.49 eV/f.u. As for the crystal system: orthorhombic. As for the space group: Immm, No. 71.

Structure (extended XYZ):
```
6
Lattice="-2.043 2.886 6.125 2.043 -2.886 6.125 2.043 2.886 -6.125" Properties=species:S:1:pos:R:3 pbc="T T T"
Y 0.000 0.000 0.000
Tm 0.000 0.000 4.089
Tm 0.000 0.000 8.161
As 2.043 0.000 2.069
As 0.000 2.886 0.000
As 0.000 2.886 4.055
```

***

The following is a DFT calculation (PBE-GGA) of a geometry-optimized K2CeRu3O12 structure.

Computed properties:
The value obtained for the magnetic moment is 0.00 μB/cell. For the raw total energy, the calculation gives -119.62 eV/f.u. As for the crystal system: trigonal. As for the space group: R-3m, No. 166.

Structure (extended XYZ):
```
18
Lattice="3.646 2.105 6.194 -3.646 2.105 6.194 0.000 -4.211 6.194" Properties=species:S:1:pos:R:3 pbc="T T T"
K 0.000 0.000 2.521
K 0.000 0.000 16.061
Ce 0.000 0.000 9.291
Ru -1.823 -1.053 6.194
Ru -1.823 1.053 12.388
Ru 0.000 2.105 6.194
O -1.647 -0.951 8.107
O 0.000 -1.587 6.050
O -1.374 0.793 6.050
O 0.000 -1.902 10.475
O -1.647 0.951 10.475
O -1.374 -0.793 12.532
O 1.374 0.793 6.050
O 1.647 -0.951 8.107
O 0.000 1.902 8.107
O 1.374 -0.793 12.532
O 0.000 1.587 12.532
O 1.647 0.951 10.475
```

***

The following is a DFT calculation (PBE-GGA) of a geometry-optimized LiHoTiRe structure.

Computed properties:
The value obtained for the magnetic moment is 0.00 μB/cell. For the raw total energy, the calculation gives -26.70 eV/f.u. As for the crystal system: cubic. As for the space group: F-43m, No. 216.

Structure (extended XYZ):
```
4
Lattice="0.000 3.286 3.286 3.286 0.000 3.286 3.286 3.286 0.000" Properties=species:S:1:pos:R:3 pbc="T T T"
Li 0.000 0.000 0.000
Ho 4.929 4.929 4.929
Ti 1.643 1.643 1.643
Re 3.286 3.286 3.286
```

***

The following is a DFT calculation (PBE-GGA) of a geometry-optimized LiPaZn11 structure.

Computed properties:
The value obtained for the magnetic moment is 0.49 μB/cell. For the raw total energy, the calculation gives -26.76 eV/f.u. As for the crystal system: monoclinic. As for the space group: C2/m, No. 12.

Structure (extended XYZ):
```
13
Lattice="2.589 -6.240 0.000 2.589 6.240 0.000 -2.528 0.000 6.314" Properties=species:S:1:pos:R:3 pbc="T T T"
Li 0.000 0.000 0.000
Pa 1.325 0.000 3.157
Zn 0.030 3.120 3.157
Zn 1.335 4.900 1.771
Zn 1.265 2.178 0.921
Zn 1.314 4.900 4.543
Zn 1.265 -2.178 0.921
Zn 0.030 -3.120 3.157
Zn 2.589 0.000 0.000
Zn 1.384 2.178 5.393
Zn 1.335 -4.900 1.771
Zn 1.384 -2.178 5.393
Zn 1.314 -4.900 4.543
```

***

The following is a DFT calculation (PBE-GGA) of a geometry-optimized MnTl2Ir structure.

Computed properties:
The value obtained for the magnetic moment is 8.27 μB/cell. For the raw total energy, the calculation gives -19.93 eV/f.u. As for the crystal system: tetragonal. As for the space group: I-42d, No. 122.

Structure (extended XYZ):
```
8
Lattice="-3.850 3.850 2.907 3.850 -3.850 2.907 3.850 3.850 -2.907" Properties=species:S:1:pos:R:3 pbc="T T T"
Mn 0.000 0.000 0.000
Mn 0.000 3.850 1.453
Tl 1.925 -1.815 2.180
Tl 2.034 1.925 0.727
Tl 1.925 5.665 -0.727
Tl 1.815 1.925 3.633
Ir 3.850 0.000 1.453
Ir 0.000 0.000 2.907
```

***

The following is a DFT calculation (PBE-GGA) of a geometry-optimized Na3Pa3TiN8 structure.

Computed properties:
The value obtained for the magnetic moment is 0.00 μB/cell. For the raw total energy, the calculation gives -121.73 eV/f.u. As for the crystal system: trigonal. As for the space group: R-3m, No. 166.

Structure (extended XYZ):
```
15
Lattice="3.457 1.996 5.673 -3.457 1.996 5.673 0.000 -3.991 5.673" Properties=species:S:1:pos:R:3 pbc="T T T"
Na -1.728 -0.998 5.673
Na -1.728 0.998 11.347
Na 0.000 1.996 5.673
Pa -3.457 0.000 8.510
Pa -1.728 0.998 2.837
Pa 1.728 0.998 2.837
Ti 0.000 0.000 8.510
N 0.000 0.000 3.928
N -1.637 -0.945 9.504
N 0.000 -1.890 7.517
N -1.637 0.945 7.517
N 1.637 -0.945 9.504
N 0.000 1.890 9.504
N 1.637 0.945 7.517
N 0.000 0.000 13.092
```